Below is a relaxed KScSe2 crystal, with properties calculated at the PBE level.

**ΔE_f (raw)**: -1.525 eV/atom

Unit cell a=4.0362 b=4.0362 c=8.2194 alpha=90.00 beta=90.00 gamma=120.00
With the nearest neighbours (Å) after each atom.
Space group P3m1 (No. 156)
Inequivalent atoms, fractional coordinates:
1 K 0.0000 0.0000 0.0000 [1 per cell]  4 Se 3.13-3.16
2 Sc 0.6667 0.3333 0.5515 [1 per cell]  6 Se 2.72-2.80
3 Se 0.0000 0.0000 0.3813 [1 per cell]  3 Sc 2.72
4 Se 0.3333 0.6667 0.7398 [1 per cell]  3 Sc 2.80